Record 1
A relaxed Pr2Tm5In5 crystal, computed with GGA-PBE.

Computed properties:
Symmetry: C2/m
Energy of formation, eV/atom: -0.29

a b c (Å): 6.6035 6.6035 11.8018
angles (deg): 107.26 107.26 44.85
Fractional coordinates of all 12 atoms:
Pr 0.0761 0.0761 0.2557
Pr 0.9239 0.9239 0.7443
Tm 0.3492 0.3492 0.4964
Tm 0.3720 0.3720 0.2206
Tm 0.5000 0.5000 0.0000
Tm 0.6280 0.6280 0.7794
Tm 0.6508 0.6508 0.5036
In 0.0000 0.0000 0.5000
In 0.1691 0.1691 0.9699
In 0.2446 0.2446 0.7119
In 0.7554 0.7554 0.2881
In 0.8309 0.8309 0.0301

Record 2
A relaxed NdDyHo2Ag4 crystal, computed with GGA-PBE.

Computed properties:
Symmetry: R-3m
Energy of formation, eV/atom: -0.30

a b c (Å): 8.9921 8.9921 8.9921
angles (deg): 33.43 33.43 33.43
Fractional coordinates of all 8 atoms:
Nd 0.0000 0.0000 0.0000
Dy 0.5000 0.5000 0.5000
Ho 0.2490 0.2490 0.2490
Ho 0.7510 0.7510 0.7510
Ag 0.1270 0.1270 0.1270
Ag 0.3781 0.3781 0.3781
Ag 0.6219 0.6219 0.6219
Ag 0.8730 0.8730 0.8730

Record 3
A relaxed Sc2AsRu crystal, computed with GGA-PBE.

Computed properties:
Symmetry: Pmm2
Energy of formation, eV/atom: -0.52

a b c (Å): 3.3331 4.1858 5.5145
angles (deg): 90.00 90.00 90.00
Fractional coordinates of all 4 atoms:
Sc 0.0000 0.0000 0.0000
Sc 0.5000 0.5000 0.3506
As 0.0000 0.0000 0.5042
Ru 0.5000 0.5000 0.8971

Record 4
A relaxed LaAlI2N crystal, computed with GGA-PBE.

Computed properties:
ΔE_f (raw), meV per atom: -458
E above lowest polymorph, eV per atom: 0.000
Symmetry: P4/mmm

a b c (Å): 5.9570 5.9570 3.5964
angles (deg): 90.00 90.00 90.00
Fractional coordinates of all 5 atoms:
La 0.0000 0.0000 0.0000
Al 0.5000 0.5000 0.5000
I 0.0000 0.5000 0.5000
I 0.5000 0.0000 0.5000
N 0.5000 0.5000 0.0000

Record 5
A relaxed ScTa3Ir crystal, computed with GGA-PBE.

Computed properties:
E above lowest polymorph, eV per atom: 1.156
Symmetry: Pm-3m
Energy of formation, eV/atom: 1.97

a b c (Å): 4.6257 4.6257 4.6257
angles (deg): 90.00 90.00 90.00
Fractional coordinates of all 5 atoms:
Sc 0.0000 0.0000 0.0000
Ta 0.0000 0.0000 0.5000
Ta 0.0000 0.5000 0.0000
Ta 0.5000 0.0000 0.0000
Ir 0.5000 0.5000 0.5000

Record 6
A relaxed LaAlCd2 crystal, computed with GGA-PBE.

Computed properties:
Symmetry: Cmmm
Energy of formation, eV/atom: -0.03

a b c (Å): 6.5746 9.4273 3.3679
angles (deg): 90.00 90.00 90.00
Fractional coordinates of all 8 atoms:
La 0.0000 0.0000 0.0000
La 0.5000 0.5000 0.0000
Al 0.0000 0.5000 0.0000
Al 0.5000 0.0000 0.0000
Cd 0.2500 0.2500 0.5000
Cd 0.2500 0.7500 0.5000
Cd 0.7500 0.2500 0.5000
Cd 0.7500 0.7500 0.5000

Record 7
A relaxed BaSr2AsCl crystal, computed with GGA-PBE.

Computed properties:
ΔE_f (raw), meV per atom: -595
Symmetry: P4/mmm

a b c (Å): 5.7507 5.7507 8.2907
angles (deg): 90.00 90.00 90.00
Fractional coordinates of all 5 atoms:
Ba 0.0000 0.0000 0.0000
Sr 0.0000 0.5000 0.5000
Sr 0.5000 0.0000 0.5000
As 0.5000 0.5000 0.5000
Cl 0.5000 0.5000 0.0000

Record 8
A relaxed PrNd2DyY6 crystal, computed with GGA-PBE.

Computed properties:
Symmetry: C2/c
Energy of formation, eV/atom: 0.11

a b c (Å): 8.8310 8.8310 9.8353
angles (deg): 94.87 94.87 117.60
Fractional coordinates of all 20 atoms:
Pr 0.0183 0.9817 0.7500
Pr 0.9817 0.0183 0.2500
Nd 0.1942 0.2930 0.5448
Nd 0.2930 0.1942 0.0448
Nd 0.7070 0.8058 0.9552
Nd 0.8058 0.7070 0.4552
Dy 0.4069 0.5931 0.2500
Dy 0.5931 0.4069 0.7500
Y 0.0183 0.5715 0.6850
Y 0.1205 0.7407 0.0572
Y 0.2593 0.8795 0.4428
Y 0.2977 0.5091 0.8824
Y 0.4285 0.9817 0.8150
Y 0.4909 0.7023 0.6176
Y 0.5091 0.2977 0.3824
Y 0.5715 0.0183 0.1850
Y 0.7023 0.4909 0.1176
Y 0.7407 0.1205 0.5572
Y 0.8795 0.2593 0.9428
Y 0.9817 0.4285 0.3150

no.,calculated volume (Å³/atom)
1,28.65
2,24.56
3,19.23
4,25.52
5,19.80
6,26.09
7,54.83
8,33.53